Record 1
First-principles (SCAN) data for CaPbW2Cl at its PBEsol-relaxed geometry, as listed in Alexandria.

Formation energy without anion corrections ... 2862 meV/atom
DOS at the Fermi energy ... 5.07 states/eV per cell

a = 4.7300 Å, b = 4.7300 Å, c = 5.8014 Å
α = 90.00°, β = 90.00°, γ = 90.00°
Space group P4/mmm (No. 123)
Symmetry-distinct sites (fractional):
Ca: 0.0000 0.0000 0.0000 [1 per cell]
Pb: 0.0000 0.0000 0.5000 [1 per cell]
W: 0.0000 0.5000 0.0000 [2 per cell]
Cl: 0.5000 0.5000 0.5000 [1 per cell]



Record 2
First-principles (SCAN) data for CaPdCl2 at its PBEsol-relaxed geometry, as listed in Alexandria.

Excess energy over the best structure of this formula in the dataset ... 0.000 eV/atom
Formation energy without anion corrections ... -1362 meV/atom

a = 6.6533 Å, b = 6.6533 Å, c = 6.6533 Å
α = 90.00°, β = 90.00°, γ = 90.00°
Space group Fm-3m (No. 225)
Symmetry-distinct sites (fractional):
Ca: 0.0000 0.0000 0.0000 [4 per cell]
Pd: 0.0000 0.0000 0.5000 [4 per cell]
Cl: 0.2500 0.2500 0.2500 [8 per cell]



Record 3
First-principles (SCAN) data for CaPdCl2 at its PBEsol-relaxed geometry, as listed in Alexandria.

Excess energy over the best structure of this formula in the dataset ... 0.023 eV/atom
Formation energy without anion corrections ... -1340 meV/atom

a = 4.8117 Å, b = 4.8117 Å, c = 15.5288 Å
α = 90.00°, β = 90.00°, γ = 90.00°
Space group I-42d (No. 122)
Symmetry-distinct sites (fractional):
Ca: 0.0000 0.0000 0.0000 [4 per cell]
Pd: 0.0000 0.0000 0.5000 [4 per cell]
Cl: 0.2236 0.2500 0.6250 [8 per cell]



Record 4
First-principles (SCAN) data for CaPdS2Cl at its PBEsol-relaxed geometry, as listed in Alexandria.

Excess energy over the best structure of this formula in the dataset ... 0.900 eV/atom
Formation energy without anion corrections ... 6 meV/atom
DOS at the Fermi energy ... 3.33 states/eV per cell

a = 5.1890 Å, b = 5.1890 Å, c = 5.0107 Å
α = 90.00°, β = 90.00°, γ = 90.00°
Space group P4/mmm (No. 123)
Symmetry-distinct sites (fractional):
Ca: 0.0000 0.0000 0.0000 [1 per cell]
Pd: 0.5000 0.5000 0.5000 [1 per cell]
S: 0.0000 0.5000 0.0000 [2 per cell]
Cl: 0.0000 0.0000 0.5000 [1 per cell]